Record 1
AcLa2Sm: relaxed, PBE.

Output
**Size of the total moment**: 0.0 μB per cell
**DOS(E_F)**: 7.09 states/eV per cell
**V**: 156 Å³/cell
**Uncorrected energy**: -4.516 eV/atom
**Excess energy over the best structure of this formula in the dataset**: 138.5 meV/atom
**Formation energy from the elements**: 0.154 eV per atom
**Space-group type**: R-3m

Geometry as POSCAR:
```
AcLa2Sm
1.0
3.693 0.000 0.000
1.846 3.198 0.000
1.846 1.066 13.173
Ac Sm La
1 1 2
Cartesian
0.000 0.000 0.000
3.693 2.132 6.587
1.846 1.066 9.557
5.539 3.198 3.616
```

***

Record 2
CuSiRu2: relaxed, PBE.

Output
**Size of the total moment**: 0.0 μB per cell
**DOS(E_F)**: 2.08 states/eV per cell
**V**: 54 Å³/cell
**Uncorrected energy**: -6.966 eV/atom
**Space-group type**: Cmmm

Geometry as POSCAR:
```
CuSiRu2
1.0
2.727 -0.013 0.000
-1.192 2.453 0.000
0.000 0.000 8.161
Cu Ru Si
1 2 1
Cartesian
0.767 1.220 6.121
0.000 0.000 0.170
0.000 0.000 3.911
0.767 1.220 2.040
```

***

Record 3
Li4AcBi2: relaxed, PBE.

Output
**Size of the total moment**: 0.0 μB per cell
**DOS(E_F)**: 7.87 states/eV per cell
**V**: 353 Å³/cell
**Uncorrected energy**: -3.386 eV/atom
**Formation energy from the elements**: -0.597 eV per atom
**Space-group type**: P4_2/mnm

Geometry as POSCAR:
```
Li4AcBi2
1.0
4.676 0.000 0.000
0.000 8.685 0.000
0.000 0.000 8.685
Li Ac Bi
8 2 4
Cartesian
0.000 0.827 2.940
0.000 7.858 5.745
2.338 1.403 5.170
2.338 7.282 3.515
2.338 3.515 7.282
2.338 5.170 1.403
0.000 2.940 0.827
0.000 5.745 7.858
2.338 0.000 0.000
0.000 4.343 4.343
0.000 1.863 6.823
0.000 6.823 1.863
2.338 6.205 6.205
2.338 2.480 2.480
```